Here is a geometry-optimized ThNiAs2Ru structure from Alexandria. Energies are from PBE-GGA.

It has space group I-4m2 (No. 119), with a = 4.000 Å, b = 4.000 Å, c = 11.243 Å, α = 90.00°, β = 90.00° and γ = 90.00°. The inequivalent atoms are Th at (0.000, 0.000, 0.000), Ni at (0.000, 0.500, 0.250), As at (0.000, 0.000, 0.373) and Ru at (0.000, 0.500, 0.750).

Its crystal system is tetragonal. As for the electronic total energy: -7.03 eV/atom. Its density of states at the Fermi level is 3.5 states/eV/f.u. As for the formation energy: -64.8 kJ/mol of atoms. Its spin magnetization is 0.002 μB/f.u.